Computed, not measured: a relaxed structure of YZrTlAu at the PBE level of DFT.

The structure in CIF format:
```
data_YZrTlAu
_chemical_formula_sum 'Y1 Zr1 Tl1 Au1'
_space_group_name_H-M_alt 'P 1'
_space_group_IT_number 1
_cell_length_a 5.106
_cell_length_b 5.106
_cell_length_c 5.106
_cell_angle_alpha 60.00
_cell_angle_beta 60.00
_cell_angle_gamma 60.00
loop_
_space_group_symop_operation_xyz
'x,y,z'
loop_
_atom_site_label
_atom_site_type_symbol
_atom_site_fract_x
_atom_site_fract_y
_atom_site_fract_z
Y1 Y 0.500 0.500 0.500
Tl1 Tl 0.250 0.250 0.250
Au1 Au 0.750 0.750 0.750
Zr1 Zr 0.000 0.000 0.000
```

Crystal system = cubic
E = -5.509 eV per atom

---

Computed, not measured: a relaxed structure of MgZnAg3 at the PBE level of DFT.

The structure in CIF format:
```
data_MgZnAg3
_chemical_formula_sum 'Mg1 Zn1 Ag3'
_space_group_name_H-M_alt 'P 1'
_space_group_IT_number 1
_cell_length_a 4.829
_cell_length_b 4.829
_cell_length_c 4.829
_cell_angle_alpha 90.00
_cell_angle_beta 90.00
_cell_angle_gamma 90.00
loop_
_space_group_symop_operation_xyz
'x,y,z'
loop_
_atom_site_label
_atom_site_type_symbol
_atom_site_fract_x
_atom_site_fract_y
_atom_site_fract_z
Zn1 Zn 0.000 0.000 0.000
Mg1 Mg 0.500 0.500 0.500
Ag1 Ag 0.000 0.500 0.000
Ag2 Ag 0.000 0.000 0.500
Ag3 Ag 0.500 0.000 0.000
```

E above lowest polymorph = 0.470 eV/atom
Crystal system = cubic

---

Computed, not measured: a relaxed structure of MgTe2Mo at the PBE level of DFT.

The structure in CIF format:
```
data_MgTe2Mo
_chemical_formula_sum 'Mg1 Te2 Mo1'
_space_group_name_H-M_alt 'P 1'
_space_group_IT_number 1
_cell_length_a 5.875
_cell_length_b 4.146
_cell_length_c 4.146
_cell_angle_alpha 90.00
_cell_angle_beta 90.00
_cell_angle_gamma 90.00
loop_
_space_group_symop_operation_xyz
'x,y,z'
loop_
_atom_site_label
_atom_site_type_symbol
_atom_site_fract_x
_atom_site_fract_y
_atom_site_fract_z
Mg1 Mg 0.000 0.374 0.374
Mo1 Mo 0.500 0.876 0.876
Te1 Te 0.000 0.875 0.874
Te2 Te 0.500 0.376 0.376
```

Formation energy without anion corrections = 3 meV per atom
Crystal system = orthorhombic

---

Computed, not measured: a relaxed structure of Be2AlBiAu at the PBE level of DFT.

The structure in CIF format:
```
data_Be2AlBiAu
_chemical_formula_sum 'Be2 Al1 Bi1 Au1'
_space_group_name_H-M_alt 'P 1'
_space_group_IT_number 1
_cell_length_a 4.384
_cell_length_b 5.880
_cell_length_c 4.384
_cell_angle_alpha 90.00
_cell_angle_beta 90.00
_cell_angle_gamma 90.00
loop_
_space_group_symop_operation_xyz
'x,y,z'
loop_
_atom_site_label
_atom_site_type_symbol
_atom_site_fract_x
_atom_site_fract_y
_atom_site_fract_z
Be1 Be 0.000 0.000 0.500
Be2 Be 0.500 0.000 0.000
Au1 Au 0.000 0.000 0.000
Bi1 Bi 0.000 0.500 0.000
Al1 Al 0.500 0.500 0.500
```

Crystal system = tetragonal
E = -3.082 eV per atom

---

Computed, not measured: a relaxed structure of TlW3 at the PBE level of DFT.

The structure in CIF format:
```
data_TlW3
_chemical_formula_sum 'Tl1 W3'
_space_group_name_H-M_alt 'P 1'
_space_group_IT_number 1
_cell_length_a 3.388
_cell_length_b 3.388
_cell_length_c 6.247
_cell_angle_alpha 90.00
_cell_angle_beta 90.00
_cell_angle_gamma 90.00
loop_
_space_group_symop_operation_xyz
'x,y,z'
loop_
_atom_site_label
_atom_site_type_symbol
_atom_site_fract_x
_atom_site_fract_y
_atom_site_fract_z
Tl1 Tl 0.000 0.000 0.000
W1 W 0.500 0.500 0.286
W2 W 0.000 0.000 0.500
W3 W 0.500 0.500 0.714
```

E above lowest polymorph = 0.135 eV/atom
Crystal system = tetragonal

---

Computed, not measured: a relaxed structure of In2ReNiPb at the PBE level of DFT.

The structure in CIF format:
```
data_In2ReNiPb
_chemical_formula_sum 'In2 Re1 Ni1 Pb1'
_space_group_name_H-M_alt 'P 1'
_space_group_IT_number 1
_cell_length_a 5.726
_cell_length_b 5.266
_cell_length_c 5.726
_cell_angle_alpha 90.00
_cell_angle_beta 90.00
_cell_angle_gamma 90.00
loop_
_space_group_symop_operation_xyz
'x,y,z'
loop_
_atom_site_label
_atom_site_type_symbol
_atom_site_fract_x
_atom_site_fract_y
_atom_site_fract_z
Pb1 Pb 0.000 0.000 0.000
Re1 Re 0.000 0.500 0.000
Ni1 Ni 0.500 0.500 0.500
In1 In 0.000 0.000 0.500
In2 In 0.500 0.000 0.000
```

Crystal system = tetragonal
E = -3.433 eV per atom

---

Computed, not measured: a relaxed structure of Dy3Hg at the PBE level of DFT.

The structure in CIF format:
```
data_Dy3Hg
_chemical_formula_sum 'Dy3 Hg1'
_space_group_name_H-M_alt 'P 1'
_space_group_IT_number 1
_cell_length_a 3.596
_cell_length_b 3.596
_cell_length_c 8.907
_cell_angle_alpha 90.00
_cell_angle_beta 90.00
_cell_angle_gamma 90.00
loop_
_space_group_symop_operation_xyz
'x,y,z'
loop_
_atom_site_label
_atom_site_type_symbol
_atom_site_fract_x
_atom_site_fract_y
_atom_site_fract_z
Dy1 Dy 0.000 0.000 0.500
Dy2 Dy 0.500 0.500 0.223
Dy3 Dy 0.500 0.500 0.777
Hg1 Hg 0.000 0.000 0.000
```

E above lowest polymorph = 0.005 eV/atom
Crystal system = tetragonal

---

Computed, not measured: a relaxed structure of AlZn11Ga17 at the PBE level of DFT.

The structure in CIF format:
```
data_AlZn11Ga17
_chemical_formula_sum 'Al1 Zn11 Ga17'
_space_group_name_H-M_alt 'P 1'
_space_group_IT_number 1
_cell_length_a 8.500
_cell_length_b 8.500
_cell_length_c 9.355
_cell_angle_alpha 111.46
_cell_angle_beta 111.46
_cell_angle_gamma 107.40
loop_
_space_group_symop_operation_xyz
'x,y,z'
loop_
_atom_site_label
_atom_site_type_symbol
_atom_site_fract_x
_atom_site_fract_y
_atom_site_fract_z
Al1 Al 0.366 0.366 0.183
Zn1 Zn 0.194 0.194 0.806
Zn2 Zn 0.616 0.810 0.002
Zn3 Zn 0.194 0.384 0.388
Zn4 Zn 0.808 0.002 0.614
Zn5 Zn 0.631 0.999 0.813
Zn6 Zn 0.806 0.190 0.191
Zn7 Zn 0.190 0.806 0.191
Zn8 Zn 0.999 0.631 0.813
Zn9 Zn 0.002 0.808 0.614
Zn10 Zn 0.384 0.194 0.388
Zn11 Zn 0.810 0.616 0.002
Ga1 Ga 0.000 0.000 0.320
Ga2 Ga 0.691 0.691 0.279
Ga3 Ga 0.662 0.662 0.662
Ga4 Ga 0.420 0.420 0.728
Ga5 Ga 0.995 0.995 0.998
Ga6 Ga 0.307 0.586 0.000
Ga7 Ga 0.412 0.722 0.414
Ga8 Ga 0.003 0.311 0.588
Ga9 Ga 0.997 0.334 0.000
Ga10 Ga 0.281 0.693 0.693
Ga11 Ga 0.583 0.000 0.310
Ga12 Ga 0.000 0.583 0.310
Ga13 Ga 0.693 0.281 0.693
Ga14 Ga 0.334 0.997 0.000
Ga15 Ga 0.311 0.003 0.588
Ga16 Ga 0.722 0.412 0.414
Ga17 Ga 0.586 0.307 0.000
```

Crystal system = monoclinic
E = -2.358 eV per atom

---

Computed, not measured: a relaxed structure of BeCuOs2 at the PBE level of DFT.

The structure in CIF format:
```
data_BeCuOs2
_chemical_formula_sum 'Be1 Cu1 Os2'
_space_group_name_H-M_alt 'P 1'
_space_group_IT_number 1
_cell_length_a 2.820
_cell_length_b 4.393
_cell_length_c 4.174
_cell_angle_alpha 90.00
_cell_angle_beta 90.00
_cell_angle_gamma 90.00
loop_
_space_group_symop_operation_xyz
'x,y,z'
loop_
_atom_site_label
_atom_site_type_symbol
_atom_site_fract_x
_atom_site_fract_y
_atom_site_fract_z
Be1 Be 0.500 0.000 0.500
Os1 Os 0.000 0.000 0.000
Os2 Os 0.500 0.500 0.000
Cu1 Cu 0.000 0.500 0.500
```

Crystal system = orthorhombic
E = -7.240 eV per atom

---

Computed, not measured: a relaxed structure of Mn2Be2W at the PBE level of DFT.

The structure in CIF format:
```
data_Mn2Be2W
_chemical_formula_sum 'Mn4 Be4 W2'
_space_group_name_H-M_alt 'P 1'
_space_group_IT_number 1
_cell_length_a 6.133
_cell_length_b 6.133
_cell_length_c 2.815
_cell_angle_alpha 90.00
_cell_angle_beta 90.00
_cell_angle_gamma 90.00
loop_
_space_group_symop_operation_xyz
'x,y,z'
loop_
_atom_site_label
_atom_site_type_symbol
_atom_site_fract_x
_atom_site_fract_y
_atom_site_fract_z
Be1 Be 0.381 0.881 0.000
Be2 Be 0.881 0.619 0.000
Be3 Be 0.619 0.119 0.000
Be4 Be 0.119 0.381 0.000
Mn1 Mn 0.174 0.674 0.500
Mn2 Mn 0.674 0.826 0.500
Mn3 Mn 0.826 0.326 0.500
Mn4 Mn 0.326 0.174 0.500
W1 W 0.000 0.000 0.000
W2 W 0.500 0.500 0.000
```

Crystal system = tetragonal
E = -7.808 eV per atom

---

Computed, not measured: a relaxed structure of V6CoTc at the PBE level of DFT.

The structure in CIF format:
```
data_V6CoTc
_chemical_formula_sum 'V6 Co1 Tc1'
_space_group_name_H-M_alt 'P 1'
_space_group_IT_number 1
_cell_length_a 6.694
_cell_length_b 6.687
_cell_length_c 4.730
_cell_angle_alpha 45.01
_cell_angle_beta 45.03
_cell_angle_gamma 60.02
loop_
_space_group_symop_operation_xyz
'x,y,z'
loop_
_atom_site_label
_atom_site_type_symbol
_atom_site_fract_x
_atom_site_fract_y
_atom_site_fract_z
V1 V 0.000 0.500 0.747
V2 V 0.753 0.000 0.746
V3 V 0.500 0.247 0.253
V4 V 0.247 0.000 0.254
V5 V 0.000 0.500 0.253
V6 V 0.500 0.753 0.747
Co1 Co 0.000 0.000 0.000
Tc1 Tc 0.500 0.500 0.500
```

Crystal system = cubic
E = -9.188 eV per atom

---

Computed, not measured: a relaxed structure of CeScTlIn at the PBE level of DFT.

The structure in CIF format:
```
data_CeScTlIn
_chemical_formula_sum 'Ce1 Sc1 Tl1 In1'
_space_group_name_H-M_alt 'P 1'
_space_group_IT_number 1
_cell_length_a 4.922
_cell_length_b 4.922
_cell_length_c 5.527
_cell_angle_alpha 116.44
_cell_angle_beta 116.44
_cell_angle_gamma 90.00
loop_
_space_group_symop_operation_xyz
'x,y,z'
loop_
_atom_site_label
_atom_site_type_symbol
_atom_site_fract_x
_atom_site_fract_y
_atom_site_fract_z
Ce1 Ce 0.000 0.000 0.000
Sc1 Sc 0.500 0.500 0.000
Tl1 Tl 0.750 0.250 0.500
In1 In 0.250 0.750 0.500
```

E above lowest polymorph = 0.000 eV/atom
Crystal system = tetragonal